Record 1
A geometry-optimized Nd6C2SeS3 structure, computed with PBE.

Its total magnetization is 0.00 μB/f.u. The uncorrected formation energy comes out at -1400 meV/atom.

a b c (Å): 3.9605 8.1829 8.9823
angles (deg): 103.05 102.74 90.00
Fractional positions:
1 Nd 0.9834 0.7308 0.9668
2 Nd 0.3252 0.4334 0.6503
3 Nd 0.3268 0.8797 0.6537
4 Nd 0.6748 0.5666 0.3497
5 Nd 0.0166 0.2692 0.0332
6 Nd 0.6732 0.1203 0.3463
7 C 0.1684 0.3347 0.3367
8 C 0.8316 0.6653 0.6633
9 Se 0.5000 0.0000 0.0000
10 S 0.8380 0.1652 0.6761
11 S 0.1620 0.8348 0.3239
12 S 0.5000 0.5000 0.0000

***

Record 2
A geometry-optimized Pm2NdZn2 structure, computed with PBE.

Its total magnetization is 0.00 μB/f.u. The formation enthalpy at 0 K is -15.6 kJ/mol of atoms.

a b c (Å): 4.4543 4.6342 13.4563
angles (deg): 99.89 90.00 90.00
Fractional positions:
1 Pm 0.2500 0.2640 0.5273
2 Pm 0.7500 0.0567 0.1092
3 Pm 0.7500 0.7360 0.4727
4 Pm 0.2500 0.9433 0.8908
5 Nd 0.7500 0.3626 0.7299
6 Nd 0.2500 0.6374 0.2701
7 Zn 0.7500 0.1684 0.3361
8 Zn 0.2500 0.8316 0.6639
9 Zn 0.7500 0.4788 0.9532
10 Zn 0.2500 0.5212 0.0468

***

Record 3
A geometry-optimized GaB2H structure, computed with PBE.

Its total magnetization is 0.00 μB/f.u. For the energy, the calculation gives -3.417 eV per atom.

a b c (Å): 3.6752 3.6752 3.6752
angles (deg): 60.00 60.00 60.00
Fractional positions:
1 B 0.2500 0.2500 0.2500
2 B 0.7500 0.7500 0.7500
3 H 0.0000 0.0000 0.0000
4 Ga 0.5000 0.5000 0.5000